Nd5Tm4In: optimized geometry, PBE-GGA.

Properties
The value obtained for the volume is 320 Å³ per cell. The calculation puts the energy of formation at -17.3 meV per atom. As for the total energy: -44.6 eV for the cell shown. The crystal system is tetragonal. The calculation puts the energy relative to the lowest polymorph listed for this composition at 0 meV/atom. As for the total magnetic moment: 0.00 μB per formula unit. The value obtained for the density of states at the Fermi level is 1.59 states/eV/atom.

a b c (Å): 4.1237 4.1237 18.8228
angles (deg): 90.00 90.00 90.00
Last column: nearest neighbours and their distance in Å.
Space group P4/mmm (No. 123)
Inequivalent atoms, fractional coordinates:
1 Nd 0.0000 0.0000 0.0000 [1 per cell]  8 Tm 3.49, 2 Nd 3.84
2 Nd 0.0000 0.0000 0.2040 [2 per cell]  8 Tm 3.47-3.49, 2 Nd 3.84
3 Nd 0.0000 0.0000 0.4082 [2 per cell]  4 In 3.39, 1 Nd 3.46, 4 Tm 3.52
4 Tm 0.5000 0.5000 0.1022 [2 per cell]  8 Nd 3.49, 2 Tm 3.79-3.85
5 Tm 0.5000 0.5000 0.3038 [2 per cell]  8 Nd 3.47-3.52, 1 In 3.69, 1 Tm 3.79
6 In 0.5000 0.5000 0.5000 [1 per cell]  8 Nd 3.39, 2 Tm 3.69

LaIn2Ir: optimized geometry, PBE-GGA.

Properties
The value obtained for the volume is 189 Å³ per cell. The calculation puts the energy of formation at -252.2 meV per atom. As for the total energy: -40.5 eV for the cell shown. The crystal system is orthorhombic. As for the total magnetic moment: 0.00 μB per formula unit. The value obtained for the density of states at the Fermi level is 0.63 states/eV/atom.

a b c (Å): 5.0501 5.2923 7.0597
angles (deg): 90.00 90.00 90.00
Last column: nearest neighbours and their distance in Å.
Space group Imm2 (No. 44)
Inequivalent atoms, fractional coordinates:
1 La 0.0000 0.0000 0.0000 [2 per cell]  4 Ir 3.01-3.28, 4 In 3.12-3.15
2 In 0.0000 0.0000 0.5118 [2 per cell]  2 Ir 2.87, 4 In 3.06-3.20
3 In 0.0000 0.5000 0.7670 [2 per cell]  4 In 3.06-3.20, 1 Ir 3.09, 4 La 3.12-3.15
4 Ir 0.0000 0.5000 0.2042 [2 per cell]  3 In 2.87-3.09, 2 La 3.01